## A
DFT (GGA-PBE) results for crystalline LiMo2Au at its relaxed geometry.

## Properties
As for the density: 10.56 Mg/m³. The total magnetization is 0.0 μB/f.u.

The structure in POSCAR format:
```
LiMo2Au
1.0
-2.041 2.041 3.736
2.041 -2.041 3.736
2.041 2.041 -3.736
Li Mo Au
1 2 1
Direct
0.000 0.000 0.000
0.250 0.750 0.500
0.500 0.500 0.000
0.750 0.250 0.500
```

***

## B
DFT (GGA-PBE) results for crystalline LiMo2Au at its relaxed geometry.

## Properties
As for the density: 10.72 Mg/m³. The total magnetization is 0.0 μB/f.u.

The structure in POSCAR format:
```
LiMo2Au
1.0
3.661 0.000 0.000
0.000 3.661 0.000
0.000 0.000 4.577
Li Mo Au
1 2 1
Direct
0.000 0.000 0.000
0.000 0.500 0.500
0.500 0.000 0.500
0.500 0.500 0.000
```

***

## C
DFT (GGA-PBE) results for crystalline LiMo2Au at its relaxed geometry.

## Properties
As for the density: 10.48 Mg/m³. The total magnetization is 0.0 μB/f.u.

The structure in POSCAR format:
```
LiMo2Au
1.0
3.235 0.000 0.000
0.000 3.235 0.000
0.000 0.000 5.993
Li Mo Au
1 2 1
Direct
0.000 0.000 0.000
0.000 0.000 0.480
0.500 0.500 0.270
0.500 0.500 0.792
```

***

Quick one: least stable of them? A

***

## A
DFT (GGA-PBE) results for crystalline LiMo2Au at its relaxed geometry.

## Properties
As for the density: 10.26 Mg/m³. The total magnetization is 0.0 μB/f.u.

The structure in POSCAR format:
```
LiMo2Au
1.0
2.685 0.000 0.000
0.000 2.685 0.000
0.000 0.000 8.888
Li Mo Au
1 2 1
Direct
0.000 0.000 0.000
0.000 0.000 0.519
0.500 0.500 0.265
0.500 0.500 0.772
```

***

## B
DFT (GGA-PBE) results for crystalline LiMo2Au at its relaxed geometry.

## Properties
As for the density: 10.54 Mg/m³. The total magnetization is 0.0 μB/f.u.

The structure in POSCAR format:
```
LiMo2Au
1.0
2.654 0.000 0.000
0.000 4.682 0.000
-1.157 0.000 5.017
Li Mo Au
1 2 1
Direct
0.000 0.000 0.000
0.481 0.500 0.235
0.519 0.500 0.765
0.000 0.000 0.500
```

***

Quick one: least stable of them? B

***

## A
DFT (GGA-PBE) results for crystalline LiMo2Au at its relaxed geometry.

## Properties
As for the density: 10.53 Mg/m³. The total magnetization is 0.0 μB/f.u.

The structure in POSCAR format:
```
LiMo2Au
1.0
2.670 0.000 0.000
0.000 4.228 0.000
-0.944 0.000 5.529
Li Mo Au
1 2 1
Direct
0.000 0.000 0.000
0.547 0.000 0.481
0.758 0.500 0.250
0.172 0.500 0.773
```

***

## B
DFT (GGA-PBE) results for crystalline LiMo2Au at its relaxed geometry.

## Properties
As for the density: 10.79 Mg/m³. The total magnetization is 0.0 μB/f.u.

The structure in POSCAR format:
```
LiMo2Au
1.0
-1.731 1.934 4.548
1.731 -1.934 4.548
1.731 1.934 -4.548
Li Mo Au
1 2 1
Direct
0.000 0.000 0.000
0.248 0.748 0.500
0.752 0.252 0.500
0.500 0.500 0.000
```

***

## C
DFT (GGA-PBE) results for crystalline LiMo2Au at its relaxed geometry.

## Properties
As for the density: 10.25 Mg/m³. The total magnetization is 0.0 μB/f.u.

The structure in POSCAR format:
```
LiMo2Au
1.0
-1.660 2.322 4.158
1.660 -2.322 4.158
1.660 2.322 -4.158
Li Mo Au
1 2 1
Direct
0.000 0.000 0.000
0.267 0.767 0.500
0.482 0.482 0.000
0.759 0.259 0.500
```

***

Quick one: least stable of them? C

***

## A
DFT (GGA-PBE) results for crystalline LiMoAu3 at its relaxed geometry.

## Properties
As for the density: 8.75 Mg/m³. The total magnetization is 0.0 μB/f.u.

The structure in POSCAR format:
```
LiMoAu3
1.0
5.086 0.000 0.000
0.000 5.086 0.000
0.000 0.000 5.086
Li Mo Au
1 1 3
Direct
0.000 0.000 0.000
0.500 0.500 0.500
0.000 0.500 0.500
0.500 0.000 0.500
0.500 0.500 0.000
```

***

## B
DFT (GGA-PBE) results for crystalline LiMoAu3 at its relaxed geometry.

## Properties
As for the density: 12.88 Mg/m³. The total magnetization is 3.6 μB/f.u.

The structure in POSCAR format:
```
LiMoAu3
1.0
4.472 0.000 0.000
0.000 4.472 0.000
0.000 0.000 4.472
Li Mo Au
1 1 3
Direct
0.000 0.000 0.000
0.500 0.500 0.500
0.000 0.000 0.500
0.000 0.500 0.000
0.500 0.000 0.000
```

***

Quick one: least stable of them? A

***

## A
DFT (GGA-PBE) results for crystalline LiMo3Au at its relaxed geometry.

## Properties
As for the density: 6.92 Mg/m³. The total magnetization is 0.0 μB/f.u.

The structure in POSCAR format:
```
LiMo3Au
1.0
4.906 0.000 0.000
0.000 4.906 0.000
0.000 0.000 4.906
Li Mo Au
1 3 1
Direct
0.000 0.000 0.000
0.000 0.500 0.500
0.500 0.000 0.500
0.500 0.500 0.000
0.500 0.500 0.500
```

***

## B
DFT (GGA-PBE) results for crystalline LiMo3Au at its relaxed geometry.

## Properties
As for the density: 10.74 Mg/m³. The total magnetization is 0.0 μB/f.u.

The structure in POSCAR format:
```
LiMo3Au
1.0
4.236 0.000 0.000
0.000 4.236 0.000
0.000 0.000 4.236
Li Mo Au
1 3 1
Direct
0.000 0.000 0.000
0.000 0.000 0.500
0.000 0.500 0.000
0.500 0.000 0.000
0.500 0.500 0.500
```

***

Quick one: least stable of them? A